# 1
Li6Al2In | PBE | optimized geometry

Structure (CIF):
```
data_Li6Al2In
_chemical_formula_sum 'Li6 Al2 In1'
_cell_length_a 5.365
_cell_length_b 5.365
_cell_length_c 5.365
_cell_angle_alpha 96.41
_cell_angle_beta 96.41
_cell_angle_gamma 96.41
_symmetry_space_group_name_H-M 'P 1'
_symmetry_Int_Tables_number 1
_symmetry_space_group_name_Hall 'P 1'
loop_
_atom_site_label
_atom_site_type_symbol
_atom_site_fract_x
_atom_site_fract_y
_atom_site_fract_z
Li1 Li 0.000 0.332 0.668
Li2 Li 0.000 0.668 0.332
Li3 Li 0.332 0.000 0.668
Li4 Li 0.332 0.668 0.000
Li5 Li 0.668 0.000 0.332
Li6 Li 0.668 0.332 0.000
Al1 Al 0.161 0.161 0.161
Al2 Al 0.839 0.839 0.839
In1 In 0.500 0.500 0.500
```

The formation energy comes out at -191 meV/atom. The energy comes out at -2.603 eV/atom. The value obtained for the theoretical density is 2.31 Mg/m³. As for the space group: No. 166.

***

# 2
Li2AlIn2 | PBE | optimized geometry

Structure (CIF):
```
data_Li2AlIn2
_chemical_formula_sum 'Li2 Al1 In2'
_cell_length_a 5.271
_cell_length_b 5.271
_cell_length_c 6.729
_cell_angle_alpha 129.55
_cell_angle_beta 129.55
_cell_angle_gamma 47.76
_symmetry_space_group_name_H-M 'P 1'
_symmetry_Int_Tables_number 1
_symmetry_space_group_name_Hall 'P 1'
loop_
_atom_site_label
_atom_site_type_symbol
_atom_site_fract_x
_atom_site_fract_y
_atom_site_fract_z
Li1 Li 0.209 0.209 0.312
Li2 Li 0.791 0.791 0.688
Al1 Al 0.000 0.000 0.500
In1 In 0.411 0.411 0.117
In2 In 0.589 0.589 0.883
```

The formation energy comes out at -143 meV/atom. The energy comes out at -2.753 eV/atom. The value obtained for the theoretical density is 4.52 Mg/m³. As for the space group: No. 12.

***

# 3
LiAlIn2 | PBE | optimized geometry

Structure (CIF):
```
data_LiAlIn2
_chemical_formula_sum 'Li1 Al1 In2'
_cell_length_a 3.119
_cell_length_b 3.119
_cell_length_c 8.700
_cell_angle_alpha 90.00
_cell_angle_beta 90.00
_cell_angle_gamma 93.32
_symmetry_space_group_name_H-M 'P 1'
_symmetry_Int_Tables_number 1
_symmetry_space_group_name_Hall 'P 1'
loop_
_atom_site_label
_atom_site_type_symbol
_atom_site_fract_x
_atom_site_fract_y
_atom_site_fract_z
Li1 Li 0.000 0.000 0.000
Al1 Al 0.000 0.000 0.500
In1 In 0.500 0.500 0.239
In2 In 0.500 0.500 0.761
```

The formation energy comes out at -34 meV/atom. The energy comes out at -2.817 eV/atom. The value obtained for the theoretical density is 5.18 Mg/m³. As for the space group: No. 65.

***

# 4
LiAlIn | PBE | optimized geometry

Structure (CIF):
```
data_LiAlIn
_chemical_formula_sum 'Li1 Al1 In1'
_cell_length_a 6.344
_cell_length_b 6.344
_cell_length_c 6.344
_cell_angle_alpha 151.19
_cell_angle_beta 151.19
_cell_angle_gamma 41.19
_symmetry_space_group_name_H-M 'P 1'
_symmetry_Int_Tables_number 1
_symmetry_space_group_name_Hall 'P 1'
loop_
_atom_site_label
_atom_site_type_symbol
_atom_site_fract_x
_atom_site_fract_y
_atom_site_fract_z
Li1 Li 0.000 0.000 0.000
Al1 Al 0.347 0.347 0.000
In1 In 0.673 0.673 0.000
```

The formation energy comes out at -44 meV/atom. The energy comes out at -2.842 eV/atom. The value obtained for the theoretical density is 4.17 Mg/m³. As for the space group: No. 107.

***

# 5
LiAlIn2 | PBE | optimized geometry

Structure (CIF):
```
data_LiAlIn2
_chemical_formula_sum 'Li1 Al1 In2'
_cell_length_a 3.352
_cell_length_b 4.107
_cell_length_c 6.137
_cell_angle_alpha 90.00
_cell_angle_beta 90.36
_cell_angle_gamma 90.00
_symmetry_space_group_name_H-M 'P 1'
_symmetry_Int_Tables_number 1
_symmetry_space_group_name_Hall 'P 1'
loop_
_atom_site_label
_atom_site_type_symbol
_atom_site_fract_x
_atom_site_fract_y
_atom_site_fract_z
Li1 Li 0.000 0.000 0.000
Al1 Al 0.000 0.000 0.500
In1 In 0.495 0.500 0.751
In2 In 0.505 0.500 0.249
```

The formation energy comes out at -53 meV/atom. The energy comes out at -2.836 eV/atom. The value obtained for the theoretical density is 5.18 Mg/m³. As for the space group: No. 10.

***

# 6
LiAlIn2 | PBE | optimized geometry

Structure (CIF):
```
data_LiAlIn2
_chemical_formula_sum 'Li1 Al1 In2'
_cell_length_a 3.139
_cell_length_b 3.139
_cell_length_c 8.723
_cell_angle_alpha 90.00
_cell_angle_beta 90.00
_cell_angle_gamma 92.60
_symmetry_space_group_name_H-M 'P 1'
_symmetry_Int_Tables_number 1
_symmetry_space_group_name_Hall 'P 1'
loop_
_atom_site_label
_atom_site_type_symbol
_atom_site_fract_x
_atom_site_fract_y
_atom_site_fract_z
Li1 Li 0.000 0.000 0.000
Al1 Al 0.500 0.500 0.208
In1 In 0.000 0.000 0.467
In2 In 0.500 0.500 0.766
```

The formation energy comes out at -8 meV/atom. The energy comes out at -2.791 eV/atom. The value obtained for the theoretical density is 5.10 Mg/m³. As for the space group: No. 35.

***

# 7
Li4AlIn5 | PBE | optimized geometry

Structure (CIF):
```
data_Li4AlIn5
_chemical_formula_sum 'Li4 Al1 In5'
_cell_length_a 3.492
_cell_length_b 3.492
_cell_length_c 16.592
_cell_angle_alpha 90.00
_cell_angle_beta 90.00
_cell_angle_gamma 90.00
_symmetry_space_group_name_H-M 'P 1'
_symmetry_Int_Tables_number 1
_symmetry_space_group_name_Hall 'P 1'
loop_
_atom_site_label
_atom_site_type_symbol
_atom_site_fract_x
_atom_site_fract_y
_atom_site_fract_z
Li1 Li 0.000 0.000 0.097
Li2 Li 0.000 0.000 0.292
Li3 Li 0.000 0.000 0.708
Li4 Li 0.000 0.000 0.903
Al1 Al 0.000 0.000 0.500
In1 In 0.500 0.500 0.000
In2 In 0.500 0.500 0.193
In3 In 0.500 0.500 0.393
In4 In 0.500 0.500 0.607
In5 In 0.500 0.500 0.807
```

The formation energy comes out at -184 meV/atom. The energy comes out at -2.693 eV/atom. The value obtained for the theoretical density is 5.16 Mg/m³. As for the space group: No. 123.

***

# 8
Li2AlIn2 | PBE | optimized geometry

Structure (CIF):
```
data_Li2AlIn2
_chemical_formula_sum 'Li4 Al2 In4'
_cell_length_a 7.473
_cell_length_b 7.473
_cell_length_c 3.717
_cell_angle_alpha 90.00
_cell_angle_beta 90.00
_cell_angle_gamma 90.00
_symmetry_space_group_name_H-M 'P 1'
_symmetry_Int_Tables_number 1
_symmetry_space_group_name_Hall 'P 1'
loop_
_atom_site_label
_atom_site_type_symbol
_atom_site_fract_x
_atom_site_fract_y
_atom_site_fract_z
Li1 Li 0.159 0.341 0.000
Li2 Li 0.341 0.841 0.000
Li3 Li 0.659 0.159 0.000
Li4 Li 0.841 0.659 0.000
Al1 Al 0.000 0.000 0.500
Al2 Al 0.500 0.500 0.500
In1 In 0.143 0.643 0.500
In2 In 0.357 0.143 0.500
In3 In 0.643 0.857 0.500
In4 In 0.857 0.357 0.500
```

The formation energy comes out at -68 meV/atom. The energy comes out at -2.678 eV/atom. The value obtained for the theoretical density is 4.33 Mg/m³. As for the space group: No. 127.

***

# 9
Li2AlIn8 | PBE | optimized geometry

Structure (CIF):
```
data_Li2AlIn8
_chemical_formula_sum 'Li2 Al1 In8'
_cell_length_a 4.817
_cell_length_b 4.817
_cell_length_c 11.659
_cell_angle_alpha 90.00
_cell_angle_beta 90.00
_cell_angle_gamma 90.00
_symmetry_space_group_name_H-M 'P 1'
_symmetry_Int_Tables_number 1
_symmetry_space_group_name_Hall 'P 1'
loop_
_atom_site_label
_atom_site_type_symbol
_atom_site_fract_x
_atom_site_fract_y
_atom_site_fract_z
Li1 Li 0.000 0.000 0.176
Li2 Li 0.000 0.000 0.824
Al1 Al 0.000 0.000 0.500
In1 In 0.000 0.500 0.000
In2 In 0.000 0.500 0.359
In3 In 0.000 0.500 0.641
In4 In 0.500 0.000 0.000
In5 In 0.500 0.000 0.359
In6 In 0.500 0.000 0.641
In7 In 0.500 0.500 0.182
In8 In 0.500 0.500 0.818
```

The formation energy comes out at -65 meV/atom. The energy comes out at -2.745 eV/atom. The value obtained for the theoretical density is 5.89 Mg/m³. As for the space group: No. 123.

***

# 10
Li2AlIn2 | PBE | optimized geometry

Structure (CIF):
```
data_Li2AlIn2
_chemical_formula_sum 'Li2 Al1 In2'
_cell_length_a 7.545
_cell_length_b 7.545
_cell_length_c 7.545
_cell_angle_alpha 150.20
_cell_angle_beta 150.20
_cell_angle_gamma 42.64
_symmetry_space_group_name_H-M 'P 1'
_symmetry_Int_Tables_number 1
_symmetry_space_group_name_Hall 'P 1'
loop_
_atom_site_label
_atom_site_type_symbol
_atom_site_fract_x
_atom_site_fract_y
_atom_site_fract_z
Li1 Li 0.250 0.750 0.500
Li2 Li 0.750 0.250 0.500
Al1 Al 0.000 0.000 0.000
In1 In 0.398 0.398 0.000
In2 In 0.602 0.602 0.000
```

The formation energy comes out at 2 meV/atom. The energy comes out at -2.607 eV/atom. The value obtained for the theoretical density is 4.25 Mg/m³. As for the space group: No. 139.

***

# 11
Li4AlIn | PBE | optimized geometry

Structure (CIF):
```
data_Li4AlIn
_chemical_formula_sum 'Li4 Al1 In1'
_cell_length_a 5.386
_cell_length_b 5.386
_cell_length_c 4.628
_cell_angle_alpha 115.01
_cell_angle_beta 115.01
_cell_angle_gamma 96.27
_symmetry_space_group_name_H-M 'P 1'
_symmetry_Int_Tables_number 1
_symmetry_space_group_name_Hall 'P 1'
loop_
_atom_site_label
_atom_site_type_symbol
_atom_site_fract_x
_atom_site_fract_y
_atom_site_fract_z
Li1 Li 0.080 0.415 0.247
Li2 Li 0.415 0.080 0.247
Li3 Li 0.585 0.920 0.753
Li4 Li 0.920 0.585 0.753
Al1 Al 0.000 0.000 0.500
In1 In 0.500 0.500 0.000
```

The formation energy comes out at -209 meV/atom. The energy comes out at -2.565 eV/atom. The value obtained for the theoretical density is 2.73 Mg/m³. As for the space group: No. 12.

***

# 12
LiAlIn2 | PBE | optimized geometry

Structure (CIF):
```
data_LiAlIn2
_chemical_formula_sum 'Li2 Al2 In4'
_cell_length_a 9.961
_cell_length_b 9.961
_cell_length_c 9.961
_cell_angle_alpha 154.22
_cell_angle_beta 154.22
_cell_angle_gamma 36.77
_symmetry_space_group_name_H-M 'P 1'
_symmetry_Int_Tables_number 1
_symmetry_space_group_name_Hall 'P 1'
loop_
_atom_site_label
_atom_site_type_symbol
_atom_site_fract_x
_atom_site_fract_y
_atom_site_fract_z
Li1 Li 0.000 0.000 0.000
Li2 Li 0.750 0.250 0.500
Al1 Al 0.250 0.750 0.500
Al2 Al 0.500 0.500 0.000
In1 In 0.114 0.625 0.989
In2 In 0.375 0.364 0.489
In3 In 0.636 0.125 0.011
In4 In 0.875 0.886 0.511
```

The formation energy comes out at 92 meV/atom. The energy comes out at -2.691 eV/atom. The value obtained for the theoretical density is 4.69 Mg/m³. As for the space group: No. 122.

***

Which of these has the lowest energy? LiAlIn